No. 1
A geometry-optimized Pm2Al3Cu12Ni structure. Source: Alexandria, functional GGA-PBE.

Output
DOS(E_F) (states/eV/atom): 0.51
Formation energy from the elements (eV per atom): 0.094
SG: R-3m
Volume (Å³/cell): 293.8
Total moment (μB/atom): 0.00

Lattice parameters (Å, degrees): 9.563 9.563 9.563 37.73 37.73 37.73
Sites, in units of the cell vectors:
Pm (0.153, 0.153, 0.153)
Pm (0.847, 0.847, 0.847)
Al (0.000, 0.500, 0.500)
Al (0.500, 0.000, 0.500)
Al (0.500, 0.500, 0.000)
Cu (0.080, 0.080, 0.690)
Cu (0.080, 0.690, 0.080)
Cu (0.151, 0.570, 0.570)
Cu (0.310, 0.920, 0.920)
Cu (0.430, 0.430, 0.849)
Cu (0.430, 0.849, 0.430)
Cu (0.570, 0.151, 0.570)
Cu (0.570, 0.570, 0.151)
Cu (0.690, 0.080, 0.080)
Cu (0.849, 0.430, 0.430)
Cu (0.920, 0.310, 0.920)
Cu (0.920, 0.920, 0.310)
Ni (0.500, 0.500, 0.500)

=====

No. 2
A geometry-optimized Pm2Al4Cu3Ni structure. Source: Alexandria, functional GGA-PBE.

Output
DOS(E_F) (states/eV/atom): 0.72
Formation energy from the elements (eV per atom): -0.441
SG: P-4m2
Volume (Å³/cell): 178.6
Total moment (μB/atom): 0.00

Lattice parameters (Å, degrees): 4.198 4.198 10.136 90.00 90.00 90.00
Sites, in units of the cell vectors:
Pm (0.000, 0.500, 0.242)
Pm (0.500, 0.000, 0.758)
Al (0.000, 0.000, 0.500)
Al (0.000, 0.500, 0.879)
Al (0.500, 0.000, 0.121)
Al (0.500, 0.500, 0.500)
Cu (0.000, 0.000, 0.000)
Cu (0.000, 0.500, 0.635)
Cu (0.500, 0.000, 0.365)
Ni (0.500, 0.500, 0.000)

=====

No. 3
A geometry-optimized Pm2Al2CuNi5 structure. Source: Alexandria, functional GGA-PBE.

Output
DOS(E_F) (states/eV/atom): 0.62
Formation energy from the elements (eV per atom): -0.201
SG: P4/mbm
Volume (Å³/cell): 312.5
Total moment (μB/atom): 0.00

Lattice parameters (Å, degrees): 9.959 9.959 3.150 90.00 90.00 90.00
Sites, in units of the cell vectors:
Pm (0.175, 0.325, 0.000)
Pm (0.325, 0.825, 0.000)
Pm (0.675, 0.175, 0.000)
Pm (0.825, 0.675, 0.000)
Al (0.126, 0.626, 0.000)
Al (0.374, 0.126, 0.000)
Al (0.626, 0.874, 0.000)
Al (0.874, 0.374, 0.000)
Cu (0.000, 0.000, 0.000)
Cu (0.500, 0.500, 0.000)
Ni (0.000, 0.500, 0.500)
Ni (0.052, 0.807, 0.500)
Ni (0.193, 0.052, 0.500)
Ni (0.307, 0.552, 0.500)
Ni (0.448, 0.307, 0.500)
Ni (0.500, 0.000, 0.500)
Ni (0.552, 0.693, 0.500)
Ni (0.693, 0.448, 0.500)
Ni (0.807, 0.948, 0.500)
Ni (0.948, 0.193, 0.500)